Below is a relaxed structure of Na2MnFeO4, with properties calculated at the PBE+U level.

The value obtained for the total DFT energy (no corrections) is -6.05 eV per atom. The space group is No. 10.

Structure (POSCAR):
```
Na2MnFeO4
1.0
5.2157 0.0000 0.0000
0.0000 3.1339 0.0000
-1.6038 0.0000 5.4175
Na Mn Fe O
2 1 1 4
Direct
0.0000 0.0000 0.0000 Na
0.5000 0.5000 0.0000 Na
0.0000 0.5000 0.5000 Mn
0.5000 0.0000 0.5000 Fe
0.2450 0.0000 0.7079 O
0.2575 0.5000 0.3049 O
0.7425 0.5000 0.6951 O
0.7550 0.0000 0.2921 O
```